Entry 1:
! NaTa3P | Alexandria | GGA-PBEsol | relaxed; values from VASP
&SYSTEM
  ibrav = 0, nat = 5, ntyp = 3
/
ATOMIC_SPECIES
Ta 180.95 Ta.upf
Na 22.99 Na.upf
P 30.97 P.upf
CELL_PARAMETERS angstrom
4.5622 0.0000 0.0000
0.0000 4.5622 0.0000
0.0000 0.0000 4.5622
ATOMIC_POSITIONS crystal
Ta 0.5000 0.0000 0.0000
Ta 0.0000 0.0000 0.5000
Ta 0.0000 0.5000 0.0000
Na 0.0000 0.0000 0.0000
P 0.5000 0.5000 0.5000
! SG: Pm-3m, No. 221
! electronic total energy: -6.48 eV/atom
! E_form: 2.4886 eV per atom
! DOS(E_F): 0.722 states/eV/atom

Entry 2:
! Na3TaP | Alexandria | GGA-PBEsol | relaxed; values from VASP
&SYSTEM
  ibrav = 0, nat = 5, ntyp = 3
/
ATOMIC_SPECIES
Na 22.99 Na.upf
Ta 180.95 Ta.upf
P 30.97 P.upf
CELL_PARAMETERS angstrom
-4.4947 1.2417 -3.3232
3.1395 -1.1055 -4.6593
-1.6519 -5.4794 0.1870
ATOMIC_POSITIONS crystal
Na 0.0000 0.5000 0.0000
Na 0.0000 0.0000 0.5000
Na 0.5000 0.0000 0.0000
Ta 0.0000 0.0000 0.0000
P 0.5000 0.5000 0.5000
! SG: Pm-3m, No. 221
! electronic total energy: -2.61 eV/atom
! E_form: 1.8979 eV per atom
! DOS(E_F): 1.051 states/eV/atom

Entry 3:
! NaTc3P | Alexandria | GGA-PBEsol | relaxed; values from VASP
&SYSTEM
  ibrav = 0, nat = 5, ntyp = 3
/
ATOMIC_SPECIES
Tc 98.00 Tc.upf
P 30.97 P.upf
Na 22.99 Na.upf
CELL_PARAMETERS angstrom
-0.3987 -0.1400 4.3858
-3.9685 -1.8678 -0.4203
1.8725 -3.9882 0.0429
ATOMIC_POSITIONS crystal
Tc 0.5000 0.0000 0.0000
Tc 0.0000 0.5000 0.0000
Tc 0.0000 0.0000 0.5000
P 0.5000 0.5000 0.5000
Na 0.0000 0.0000 0.0000
! SG: Pm-3m, No. 221
! electronic total energy: -5.36 eV/atom
! E_form: 2.8342 eV per atom
! DOS(E_F): 0.879 states/eV/atom

Entry 4:
! Na3TcP | Alexandria | GGA-PBEsol | relaxed; values from VASP
&SYSTEM
  ibrav = 0, nat = 5, ntyp = 3
/
ATOMIC_SPECIES
P 30.97 P.upf
Na 22.99 Na.upf
Tc 98.00 Tc.upf
CELL_PARAMETERS angstrom
-1.5607 -4.2286 -3.1150
4.2360 0.9076 -3.3544
3.1049 -3.3638 3.0107
ATOMIC_POSITIONS crystal
P 0.5000 0.5000 0.5000
Na 0.0000 0.5000 0.0000
Na 0.5000 0.0000 0.0000
Na 0.0000 0.0000 0.5000
Tc 0.0000 0.0000 0.0000
! SG: Pm-3m, No. 221
! electronic total energy: -2.60 eV/atom
! E_form: 1.6467 eV per atom
! DOS(E_F): 1.178 states/eV/atom

Entry 5:
! NaTc3P | Alexandria | GGA-PBEsol | relaxed; values from VASP
&SYSTEM
  ibrav = 0, nat = 5, ntyp = 3
/
ATOMIC_SPECIES
Tc 98.00 Tc.upf
Na 22.99 Na.upf
P 30.97 P.upf
CELL_PARAMETERS angstrom
4.3894 0.0000 0.0000
0.0000 4.3894 0.0000
0.0000 0.0000 4.3894
ATOMIC_POSITIONS crystal
Tc 0.5000 0.0000 0.0000
Tc 0.0000 0.0000 0.5000
Tc 0.0000 0.5000 0.0000
Na 0.5000 0.5000 0.5000
P 0.0000 0.0000 0.0000
! SG: Pm-3m, No. 221
! electronic total energy: -7.44 eV/atom
! E_form: 0.7579 eV per atom
! DOS(E_F): 1.019 states/eV/atom

Entry 6:
! Na2TeP2 | Alexandria | GGA-PBEsol | relaxed; values from VASP
&SYSTEM
  ibrav = 0, nat = 5, ntyp = 3
/
ATOMIC_SPECIES
P 30.97 P.upf
Te 127.60 Te.upf
Na 22.99 Na.upf
CELL_PARAMETERS angstrom
5.5323 0.0158 0.0234
-2.5163 4.9269 -0.0234
-2.5163 -1.8561 4.5640
ATOMIC_POSITIONS crystal
P 0.0000 0.3600 0.3600
P 0.0000 0.6400 0.6400
Te 0.0000 0.0000 0.0000
Na 0.5000 0.2500 0.7500
Na 0.5000 0.7500 0.2500
! SG: I4/mmm, No. 139
! electronic total energy: -3.66 eV/atom
! ΔE_f (raw): -7 kJ per mole of atoms
! DOS(E_F): 0.390 states/eV/atom

Entry 7:
! NaTiP2 | Alexandria | GGA-PBEsol | relaxed; values from VASP
&SYSTEM
  ibrav = 0, nat = 4, ntyp = 3
/
ATOMIC_SPECIES
Na 22.99 Na.upf
P 30.97 P.upf
Ti 47.87 Ti.upf
CELL_PARAMETERS angstrom
4.4630 0.0000 0.0000
2.2315 3.8651 0.0000
2.2315 1.2884 3.6440
ATOMIC_POSITIONS crystal
Na 0.0000 0.0000 0.0000
P 0.2500 0.2500 0.2500
P 0.7500 0.7500 0.7500
Ti 0.5000 0.5000 0.5000
! SG: Fm-3m, No. 225
! electronic total energy: -5.53 eV/atom
! E_form: -0.2021 eV per atom
! DOS(E_F): 0.459 states/eV/atom

Entry 8:
! NaP2W2 | Alexandria | GGA-PBEsol | relaxed; values from VASP
&SYSTEM
  ibrav = 0, nat = 5, ntyp = 3
/
ATOMIC_SPECIES
W 183.84 W.upf
P 30.97 P.upf
Na 22.99 Na.upf
CELL_PARAMETERS angstrom
-3.3224 -2.2531 2.2002
4.9709 -1.3797 1.3312
-1.4916 3.9427 1.7850
ATOMIC_POSITIONS crystal
W 0.6384 0.2768 0.6384
W 0.3616 0.7232 0.3616
P 0.2500 0.5000 0.7500
P 0.7500 0.5000 0.2500
Na 0.0000 0.0000 0.0000
! SG: I4/mmm, No. 139
! electronic total energy: -7.96 eV/atom
! E_form: 0.1619 eV per atom
! DOS(E_F): 0.476 states/eV/atom